Record 1
Computed, not measured: crystalline SmHo2Cr2C4 at its relaxed geometry at the PBE level of DFT.

a = 3.4219 Å, b = 6.8347 Å, c = 5.9959 Å
α = 110.62°, β = 90.00°, γ = 104.50°
Last column: nearest neighbours and their distance in Å.
Fractional coordinates of all 9 atoms:
Sm 0.0000 0.0000 0.0000  6 C 2.52-2.68
Ho 0.8647 0.7294 0.4544  5 C 2.61-2.74
Ho 0.1353 0.2706 0.5456  5 C 2.61-2.74
Cr 0.3205 0.6410 0.0149  4 C 1.86-2.05
Cr 0.6795 0.3590 0.9851  4 C 1.86-2.05
C 0.7824 0.5648 0.8130  3 Cr 1.98-2.05
C 0.2176 0.4352 0.1870  3 Cr 1.98-2.05
C 0.4562 0.9123 0.2594  1 Cr 1.86
C 0.5438 0.0877 0.7406  1 Cr 1.86

Properties
* density: 8.30 g/cm³
* energy relative to the elements: -56 meV per atom
* crystal system: monoclinic
* raw total energy: -70.52 eV/cell



Record 2
Computed, not measured: crystalline HoTaCrC3 at its relaxed geometry at the PBE level of DFT.

a = 3.3178 Å, b = 6.8404 Å, c = 7.3425 Å
α = 101.23°, β = 90.00°, γ = 90.00°
Last column: nearest neighbours and their distance in Å.
Fractional coordinates of all 12 atoms:
Ho 0.7500 0.8226 0.8080  5 C 2.43-2.60
Ho 0.2500 0.1774 0.1920  5 C 2.43-2.60
Ta 0.2500 0.6421 0.1435  5 C 2.13-2.32
Ta 0.7500 0.3579 0.8565  5 C 2.13-2.32
Cr 0.2500 0.0998 0.6039  4 C 1.82-1.97
Cr 0.7500 0.9002 0.3961  4 C 1.82-1.97
C 0.2500 0.8177 0.4776  3 Cr 1.89-1.97
C 0.7500 0.8800 0.1454  1 Cr 1.82
C 0.7500 0.4319 0.1521  3 Ta 2.13-2.20
C 0.7500 0.1823 0.5224  3 Cr 1.89-1.97
C 0.2500 0.5681 0.8479  3 Ta 2.13-2.20
C 0.2500 0.1200 0.8546  1 Cr 1.82

Properties
* density: 8.82 g/cm³
* energy relative to the elements: -134 meV per atom
* crystal system: monoclinic
* raw total energy: -109.05 eV/cell



Record 3
Computed, not measured: crystalline HoTa2CrC4 at its relaxed geometry at the PBE level of DFT.

a = 3.1903 Å, b = 5.7724 Å, c = 10.9908 Å
α = 90.00°, β = 90.00°, γ = 106.04°
Last column: nearest neighbours and their distance in Å.
Fractional coordinates of all 16 atoms:
Ho 0.1023 0.2046 0.7500  6 C 2.46-2.62
Ho 0.8977 0.7954 0.2500  6 C 2.46-2.62
Ta 0.3703 0.7405 0.5412  5 C 2.10-2.34
Ta 0.6297 0.2595 0.0412  5 C 2.10-2.34
Ta 0.6297 0.2595 0.4588  5 C 2.10-2.34
Ta 0.3703 0.7405 0.9588  5 C 2.10-2.34
Cr 0.8357 0.6713 0.7500  4 C 1.84-1.93
Cr 0.1643 0.3287 0.2500  4 C 1.84-1.93
C 0.2647 0.5295 0.1171  1 Cr 1.84
C 0.7353 0.4705 0.6171  1 Cr 1.84
C 0.7353 0.4705 0.8829  1 Cr 1.84
C 0.2647 0.5295 0.3829  1 Cr 1.84
C 0.0000 0.0000 0.5000  4 Ta 2.20
C 0.0000 0.0000 0.0000  4 Ta 2.20
C 0.4330 0.8660 0.7500  2 Cr 1.93
C 0.5670 0.1340 0.2500  2 Cr 1.93

Properties
* density: 10.70 g/cm³
* energy relative to the elements: -371 meV per atom
* crystal system: orthorhombic
* raw total energy: -155.54 eV/cell



Record 4
Computed, not measured: crystalline TbHo2Cr2C4 at its relaxed geometry at the PBE level of DFT.

a = 3.4052 Å, b = 6.7599 Å, c = 5.9600 Å
α = 110.00°, β = 90.00°, γ = 104.59°
Last column: nearest neighbours and their distance in Å.
Fractional coordinates of all 9 atoms:
Tb 0.0000 0.0000 0.0000  6 C 2.47-2.66
Ho 0.8648 0.7297 0.4561  7 C 2.62-2.91
Ho 0.1352 0.2703 0.5439  7 C 2.62-2.91
Cr 0.3206 0.6412 0.0137  4 C 1.85-2.05
Cr 0.6794 0.3588 0.9863  4 C 1.85-2.05
C 0.7833 0.5666 0.8095  3 Cr 1.99-2.05
C 0.2167 0.4334 0.1905  3 Cr 1.99-2.05
C 0.4574 0.9148 0.2532  1 Cr 1.85
C 0.5426 0.0852 0.7468  1 Cr 1.85

Properties
* density: 8.57 g/cm³
* energy relative to the elements: -109 meV per atom
* crystal system: monoclinic
* raw total energy: -70.91 eV/cell